! Ta2RuBr, optimized geometry, DFT PBE-GGA; values from VASP
&SYSTEM
  ibrav = 0, nat = 4, ntyp = 3
/
ATOMIC_SPECIES
Ru 101.07 Ru.upf
Ta 180.95 Ta.upf
Br 79.90 Br.upf
ATOMIC_POSITIONS crystal
Ru 0.5000 0.5000 0.7500
Ta 0.0000 0.0000 0.9844
Ta 0.0000 0.0000 0.5156
Br 0.5000 0.5000 0.2500
CELL_PARAMETERS angstrom
-0.4404 -1.0977 -2.7947
1.5974 -2.4769 0.7212
-6.1625 -3.3127 2.2723
! Formation energy from raw total energies (meV/atom): 139



! TaRu2Br, optimized geometry, DFT PBE-GGA; values from VASP
&SYSTEM
  ibrav = 0, nat = 4, ntyp = 3
/
ATOMIC_SPECIES
Br 79.90 Br.upf
Ru 101.07 Ru.upf
Ta 180.95 Ta.upf
ATOMIC_POSITIONS crystal
Br 0.2500 0.2500 0.2500
Ru 0.4813 0.4813 0.5408
Ru 0.0187 0.0187 0.9592
Ta 0.7500 0.7500 0.7500
CELL_PARAMETERS angstrom
4.6691 -0.0055 -0.0061
3.6440 2.9192 -0.0061
0.9411 0.3298 5.0311
! Formation energy from raw total energies (meV/atom): 428



! Ta2RuBr, optimized geometry, DFT PBE-GGA; values from VASP
&SYSTEM
  ibrav = 0, nat = 4, ntyp = 3
/
ATOMIC_SPECIES
Br 79.90 Br.upf
Ta 180.95 Ta.upf
Ru 101.07 Ru.upf
ATOMIC_POSITIONS crystal
Br 0.5015 0.5015 0.5507
Ta 0.7592 0.7592 0.6883
Ta 0.9851 0.9851 0.0692
Ru 0.2542 0.2542 0.1919
CELL_PARAMETERS angstrom
-0.1020 -3.5293 -3.4322
1.9563 -1.4251 -4.2882
3.6716 -3.0497 1.3316
! Formation energy from raw total energies (meV/atom): 371



| no. | energy above the most stable polymorph in this dataset (meV per atom) | calculated total energy (eV per atom) |
| --- | --- | --- |
| 1 | 101 | -8.5242 |
| 2 | 366 | -7.5913 |
| 3 | 333 | -8.2923 |